Computed, not measured: a relaxed structure of Ce6ThPa at the PBE-GGA level of DFT.

E: -52.3 eV per formula unit
E_form: 0.03 eV per atom
magnetization: 0.0 Bohr magnetons per cell

Cell: 4.7597 4.7597 9.4418 Å, 90.00 90.00 90.00°
Space group P4/mmm (No. 123)
Symmetry-distinct sites (fractional):
Ce 0.0000 0.0000 0.0000
Ce 0.0000 0.0000 0.5000
Ce 0.0000 0.5000 0.2428
Th 0.5000 0.5000 0.5000
Pa 0.5000 0.5000 0.0000